Entry 1:
The following is a PBE-GGA calculation of a relaxed La3Y2 crystal, from the Alexandria database.

space group: P-3m1, No. 164
total energy: -5.518 eV/atom
E_form: 0.0244 eV/atom
density: 5.64 Mg/m³
size of the total moment: 0.000 μB per atom
V: 35.02 A^3/atom

abc: 3.663 3.663 15.071
angles: 90.00 90.00 120.00
Fractional coordinates of all 5 atoms:
La1 0.000 0.000 0.000
La2 0.333 0.667 0.394
La3 0.667 0.333 0.606
Y1 0.333 0.667 0.803
Y2 0.667 0.333 0.197

---

Entry 2:
The following is a PBE-GGA calculation of a relaxed Sc2AsCl crystal, from the Alexandria database.

ΔE_f (raw): -109.0 kJ per mole of atoms
space group: P2/m, No. 10
total energy: -5.919 eV/atom
density: 3.93 Mg/m³
size of the total moment: 0.382 μB per atom
V: 21.15 A^3/atom

abc: 3.496 3.532 6.850
angles: 89.93 90.00 90.00
Each line ends with the local moment (μB).
Fractional coordinates of all 4 atoms:
As1 0.500 0.250 0.250  -0.04
Cl1 0.500 0.750 0.750  0.00
Sc1 0.000 0.750 0.039  0.52
Sc2 0.000 0.750 0.461  0.52

---

Entry 3:
The following is a PBE-GGA calculation of a relaxed Tb2Pm6Th3 crystal, from the Alexandria database.

space group: C2/m, No. 12
total energy: -5.278 eV/atom
E_form: 0.1790 eV/atom
density: 8.25 Mg/m³
size of the total moment: 0.000 μB per atom
V: 34.47 A^3/atom

abc: 5.980 6.456 11.910
angles: 80.22 68.48 62.41
Fractional coordinates of all 11 atoms:
Tb1 0.144 0.712 0.500
Tb2 0.856 0.288 0.500
Pm1 0.502 0.689 0.722
Pm2 0.815 0.000 0.770
Pm3 0.191 0.311 0.722
Pm4 0.185 0.000 0.230
Pm5 0.498 0.311 0.278
Pm6 0.809 0.689 0.278
Th1 0.000 0.000 0.000
Th2 0.321 0.358 0.000
Th3 0.679 0.642 0.000